Entry 1:
# Nd2PuSi2

A geometry-optimized Nd2PuSi2 structure (PBE-GGA, the Alexandria database).

Cell lengths 4.461, 5.859, 5.859 Å; angles 66.24, 67.63, 67.63 degrees
Each line ends with the local moment (μB).
Positions (direct):
Nd 0.292 0.208 0.708  0.08
Nd 0.708 0.792 0.292  0.08
Pu 0.500 0.500 0.000  5.46
Si 0.000 0.196 0.304  -0.04
Si 0.000 0.804 0.696  -0.04

DOS at the Fermi energy = 13.11 states/eV/f.u.
theoretical density = 7.83 g/cm³
symmetry = Immm, No. 71
total DFT energy (no corrections) = -37.19 eV per cell

---

Entry 2:
# NdPuSi2

A geometry-optimized NdPuSi2 structure (PBE-GGA, the Alexandria database).

Cell lengths 3.869, 5.850, 8.166 Å; angles 90.00, 90.00, 90.00 degrees
Each line ends with the local moment (μB).
Positions (direct):
Nd 0.500 0.360 0.321  -0.18
Nd 0.500 0.640 0.821  -0.18
Pu 0.000 0.140 0.679  -5.40
Pu 0.000 0.860 0.179  -5.40
Si 0.000 0.634 0.532  0.01
Si 0.000 0.366 0.032  0.01
Si 0.500 0.876 0.467  0.03
Si 0.500 0.124 0.967  0.03

DOS at the Fermi energy = 10.33 states/eV/f.u.
theoretical density = 7.98 g/cm³
E above lowest polymorph = 0.0054 eV per atom
symmetry = Pmc2_1, No. 26

---

Entry 3:
# NdPuSi2

A geometry-optimized NdPuSi2 structure (PBE-GGA, the Alexandria database).

Cell lengths 4.352, 3.865, 5.901 Å; angles 90.00, 111.63, 90.00 degrees
Each line ends with the local moment (μB).
Positions (direct):
Nd 0.729 0.000 0.997  -0.17
Pu 0.439 0.500 0.417  -5.39
Si 0.150 0.500 0.839  0.01
Si 0.013 0.000 0.564  0.03

DOS at the Fermi energy = 9.93 states/eV/f.u.
theoretical density = 8.00 g/cm³
E above lowest polymorph = 0.0000 eV per atom
symmetry = Amm2, No. 38

---

Entry 4:
# NdPuSi

A geometry-optimized NdPuSi structure (PBE-GGA, the Alexandria database).

Cell lengths 4.954, 4.954, 4.954 Å; angles 60.00, 60.00, 60.00 degrees
Each line ends with the local moment (μB).
Positions (direct):
Si 0.250 0.250 0.250  -0.09
Nd 0.000 0.000 0.000  0.33
Pu 0.500 0.500 0.500  5.59

DOS at the Fermi energy = 8.24 states/eV/f.u.
theoretical density = 8.04 g/cm³
E above lowest polymorph = 0.0000 eV per atom
symmetry = F-43m, No. 216

---

Entry 5:
# Nd2PuSi

A geometry-optimized Nd2PuSi structure (PBE-GGA, the Alexandria database).

Cell lengths 3.648, 3.648, 11.028 Å; angles 80.48, 80.48, 60.00 degrees
Each line ends with the local moment (μB).
Positions (direct):
Si 0.500 0.500 0.500  0.00
Nd 0.104 0.104 0.687  -0.02
Nd 0.896 0.896 0.313  -0.02
Pu 0.000 0.000 0.000  -5.75

DOS at the Fermi energy = 11.47 states/eV/f.u.
theoretical density = 7.46 g/cm³
symmetry = R-3m, No. 166
total DFT energy (no corrections) = -28.64 eV per cell

---

Entry 6:
# Nd5PuSi4

A geometry-optimized Nd5PuSi4 structure (PBE-GGA, the Alexandria database).

Cell lengths 5.093, 6.965, 10.715 Å; angles 130.36, 103.75, 90.00 degrees
Each line ends with the local moment (μB).
Positions (direct):
Nd 0.835 0.677 0.670  0.07
Nd 0.836 0.166 0.672  -0.02
Nd 0.164 0.834 0.328  -0.02
Nd 0.500 0.500 0.000  0.07
Nd 0.165 0.323 0.330  0.07
Pu 0.500 0.000 0.000  5.38
Si 0.324 0.899 0.648  -0.03
Si 0.992 0.742 0.984  -0.04
Si 0.676 0.101 0.352  -0.03
Si 0.008 0.258 0.016  -0.04

DOS at the Fermi energy = 12.08 states/eV/f.u.
theoretical density = 6.50 g/cm³
symmetry = C2/m, No. 12
total DFT energy (no corrections) = -64.01 eV per cell

---

Entry 7:
# Nd2Pu3Si4

A geometry-optimized Nd2Pu3Si4 structure (PBE-GGA, the Alexandria database).

Cell lengths 7.388, 7.770, 7.793 Å; angles 90.00, 90.00, 107.01 degrees
Each line ends with the local moment (μB).
Positions (direct):
Nd 0.571 0.189 0.323  0.17
Nd 0.929 0.811 0.823  0.17
Nd 0.429 0.811 0.677  0.17
Nd 0.071 0.189 0.177  0.17
Pu 0.000 0.500 0.500  5.45
Pu 0.500 0.500 0.000  5.45
Pu 0.747 0.254 0.811  5.28
Pu 0.753 0.746 0.311  5.28
Pu 0.253 0.746 0.189  5.28
Pu 0.247 0.254 0.689  5.28
Si 0.872 0.070 0.529  -0.05
Si 0.628 0.930 0.029  -0.05
Si 0.128 0.930 0.471  -0.05
Si 0.372 0.070 0.971  -0.05
Si 0.883 0.489 0.111  -0.06
Si 0.617 0.511 0.611  -0.06
Si 0.117 0.511 0.889  -0.06
Si 0.383 0.489 0.389  -0.06

DOS at the Fermi energy = 19.72 states/eV/f.u.
theoretical density = 8.79 g/cm³
symmetry = P2_1/c, No. 14
total DFT energy (no corrections) = -157.82 eV per cell

---

Entry 8:
# NdPu2Si2

A geometry-optimized NdPu2Si2 structure (PBE-GGA, the Alexandria database).

Cell lengths 4.456, 6.960, 8.185 Å; angles 90.00, 90.00, 108.67 degrees
Each line ends with the local moment (μB).
Positions (direct):
Nd 0.417 0.835 0.345  0.03
Nd 0.583 0.165 0.845  0.03
Pu 0.320 0.640 0.945  5.30
Pu 0.680 0.360 0.445  5.30
Pu 0.147 0.294 0.226  5.29
Pu 0.853 0.706 0.726  5.29
Si 0.214 0.428 0.646  -0.06
Si 0.786 0.572 0.146  -0.06
Si 0.962 0.923 0.043  -0.05
Si 0.038 0.077 0.543  -0.05

DOS at the Fermi energy = 11.91 states/eV/f.u.
theoretical density = 9.51 g/cm³
E above lowest polymorph = 0.0000 eV per atom
symmetry = Cmc2_1, No. 36